(1)
The following is a DFT calculation (GGA-PBE) of a relaxed Pm6Sm5Pb crystal.

Lattice parameters (Å, degrees): 9.596 9.596 9.596 149.66 115.53 72.90
Fractional positions:
Pm 0.081 0.335 0.745
Pm 0.243 0.000 0.243
Pm 0.410 0.665 0.745
Pm 0.590 0.335 0.255
Pm 0.757 0.000 0.757
Pm 0.919 0.665 0.255
Sm 0.169 0.169 0.000
Sm 0.337 0.837 0.500
Sm 0.500 0.500 0.000
Sm 0.663 0.163 0.500
Sm 0.831 0.831 0.000
Pb 0.000 0.500 0.500

Output
Formation energy from the elements ... -0.071 eV per atom
Electronic total energy ... -4.722 eV/atom
Total magnetization ... 0.0 μB/f.u.

(2)
The following is a DFT calculation (GGA-PBE) of a relaxed Y2BrCl crystal.

Lattice parameters (Å, degrees): 3.476 4.785 6.500 90.00 90.00 90.00
Fractional positions:
Y 0.000 0.000 0.000
Y 0.500 0.000 0.500
Br 0.000 0.500 0.500
Cl 0.500 0.500 0.000

Output
Electronic total energy ... -5.150 eV/atom
Total magnetization ... 0.0 μB/f.u.
Raw formation energy ... -1038 meV/atom

(3)
The following is a DFT calculation (GGA-PBE) of a relaxed Tl2Bi3Pb crystal.

Lattice parameters (Å, degrees): 11.337 10.355 6.725 80.11 64.13 35.76
Fractional positions:
Tl 0.250 0.250 0.250
Tl 0.250 0.750 0.750
Tl 0.750 0.250 0.250
Tl 0.750 0.750 0.750
Bi 0.165 0.165 0.835
Bi 0.167 0.667 0.333
Bi 0.333 0.833 0.167
Bi 0.667 0.167 0.833
Bi 0.833 0.333 0.667
Bi 0.835 0.835 0.165
Pb 0.333 0.333 0.667
Pb 0.667 0.667 0.333

Output
Formation energy from the elements ... -0.021 eV per atom
Electronic total energy ... -3.368 eV/atom
Total magnetization ... 0.0 μB/f.u.

(4)
The following is a DFT calculation (GGA-PBE) of a relaxed GaTcBiO6 crystal.

Lattice parameters (Å, degrees): 4.827 4.827 9.638 90.00 90.00 90.00
Fractional positions:
Ga 0.000 0.000 0.000
Ga 0.500 0.500 0.500
Tc 0.000 0.000 0.334
Tc 0.500 0.500 0.834
Bi 0.000 0.000 0.668
Bi 0.500 0.500 0.168
O 0.172 0.172 0.168
O 0.202 0.202 0.474
O 0.212 0.212 0.848
O 0.288 0.712 0.348
O 0.298 0.702 0.974
O 0.328 0.672 0.668
O 0.672 0.328 0.668
O 0.702 0.298 0.974
O 0.712 0.288 0.348
O 0.788 0.788 0.848
O 0.798 0.798 0.474
O 0.828 0.828 0.168

Output
Electronic total energy ... -6.567 eV/atom
Total magnetization ... 1.0 μB/f.u.
Raw formation energy ... -1342 meV/atom

(5)
The following is a DFT calculation (GGA-PBE) of a relaxed AcHgGeO4 crystal.

Lattice parameters (Å, degrees): 6.887 6.887 6.887 127.12 108.91 94.15
Fractional positions:
Ac 0.000 0.000 0.000
Ac 0.500 0.000 0.500
Hg 0.500 0.000 0.000
Hg 0.500 0.500 0.500
Ge 0.116 0.366 0.750
Ge 0.884 0.634 0.250
O 0.172 0.734 0.438
O 0.204 0.266 0.938
O 0.232 0.242 0.510
O 0.232 0.722 0.990
O 0.768 0.278 0.010
O 0.768 0.758 0.490
O 0.796 0.734 0.062
O 0.828 0.266 0.562

Output
Electronic total energy ... -5.935 eV/atom
Total magnetization ... 0.0 μB/f.u.
Raw formation energy ... -1812 meV/atom

(6)
The following is a DFT calculation (GGA-PBE) of a relaxed NaCd10Pb crystal.

Lattice parameters (Å, degrees): 4.891 6.002 10.344 90.00 90.00 90.00
Fractional positions:
Na 0.000 0.000 0.000
Cd 0.000 0.000 0.333
Cd 0.000 0.000 0.667
Cd 0.000 0.500 0.165
Cd 0.000 0.500 0.835
Cd 0.500 0.000 0.500
Cd 0.500 0.248 0.247
Cd 0.500 0.248 0.753
Cd 0.500 0.500 0.000
Cd 0.500 0.752 0.247
Cd 0.500 0.752 0.753
Pb 0.000 0.500 0.500

Output
Formation energy from the elements ... 0.018 eV per atom
Electronic total energy ... -1.163 eV/atom
Total magnetization ... 0.0 μB/f.u.

- The lowest electronic total energy belongs to which entry?
  GaTcBiO6

- Which formula does entry 5 have?
  AcHgGeO4

- Which of these has the highest electronic total energy?
  NaCd10Pb